Tm3CSe2 (PBE-GGA, relaxed); density of states at the Fermi level = 0.263 states/eV/atom; DFT total energy = -6.284 eV/atom; ΔE_f (raw) = -8.10 eV/f.u.; total magnetization = 0.0 μB/f.u.
1.0
-1.8663 2.7372 6.0461
1.8663 -2.7372 6.0461
1.8663 2.7372 -6.0461
Tm C Se
3 1 2
direct
0.0000 0.0000 0.0000 Tm
0.3679 0.3679 0.0000 Tm
0.6321 0.6321 0.0000 Tm
0.5000 0.0000 0.5000 C
0.1760 0.6760 0.5000 Se
0.8240 0.3240 0.5000 Se